Material: TbTmGa
Method: DFT, GGA-PBE
State: optimized geometry

calculated formation energy: -1.158 eV per formula unit
energy: -26.6 eV for the cell shown

Lattice parameters (Å, degrees): 5.1410 5.1410 6.5789 90.00 90.00 120.00
Space group P6_3/mmc (No. 194)
One atom of each set of equivalent atoms:
Tb: 0.0000 0.0000 0.0000 [2 per cell]
Tm: 0.3333 0.6667 0.2500 [2 per cell]
Ga: 0.3333 0.6667 0.7500 [2 per cell]